Entry 1:
First-principles (PBE) data for an optimized crystal structure of Mn2TeAu, as listed in Alexandria.

Space-group type: R3m (160)
Raw formation energy in kJ per mole of atoms: 34

Lattice parameters (Å, degrees): 9.153 9.153 9.153 19.86 19.86 19.86
Each line ends with the local moment (μB).
Fractional coordinates of all 4 atoms:
Au 0.736 0.736 0.736  0.03
Mn 0.254 0.254 0.254  2.91
Mn 0.995 0.995 0.995  3.67
Te 0.515 0.515 0.515  -0.12

---

Entry 2:
First-principles (PBE) data for an optimized crystal structure of NdSbOs, as listed in Alexandria.

Space-group type: P-1 (2)
Raw formation energy in kJ per mole of atoms: -34

Lattice parameters (Å, degrees): 4.286 4.500 9.487 78.20 60.70 89.75
Fractional coordinates of all 6 atoms:
Nd 0.225 0.736 0.919
Nd 0.154 0.915 0.514
Sb 0.862 0.508 0.317
Sb 0.518 0.143 0.117
Os 0.864 0.299 0.787
Os 0.515 0.352 0.646

---

Entry 3:
First-principles (PBE) data for an optimized crystal structure of ScCoHg2, as listed in Alexandria.

Space-group type: Pm (6)
Total energy in eV/atom: -3.558

Lattice parameters (Å, degrees): 3.587 3.370 6.746 75.54 90.00 90.00
Fractional coordinates of all 4 atoms:
Hg 0.000 0.823 0.981
Hg 0.500 0.176 0.272
Sc 0.000 0.530 0.564
Co 0.500 0.971 0.682

---

Entry 4:
First-principles (PBE) data for an optimized crystal structure of Sc5Te, as listed in Alexandria.

Space-group type: Amm2 (38)
Raw formation energy in kJ per mole of atoms: -29

Lattice parameters (Å, degrees): 8.328 8.328 4.901 90.00 90.00 155.15
Fractional coordinates of all 6 atoms:
Sc 0.785 0.215 0.500
Sc 0.997 0.003 0.000
Sc 0.452 0.548 0.500
Sc 0.335 0.665 0.000
Sc 0.652 0.348 0.000
Te 0.112 0.888 0.500